No. 1
DFT (PBE) results for an optimized crystal structure of AcPaGe2.

Cell: 3.495 3.495 8.210 Å, 90.00 90.00 90.00°
Fractional positions:
Ac (0.000, 0.000, 0.000)
Pa (0.000, 0.000, 0.500)
Ge (0.500, 0.500, 0.271)
Ge (0.500, 0.500, 0.729)

Calculated values
DFT formation energy ... -385.6 meV/atom
Calculated total energy ... -24.382 eV for the cell shown
DOS at the Fermi energy ... 1.237 states/eV per atom



No. 2
DFT (PBE) results for an optimized crystal structure of AcPaGe3.

Cell: 13.985 13.985 4.145 Å, 90.00 90.00 162.02°
Fractional positions:
Ac (0.074, 0.926, 0.750)
Ac (0.926, 0.074, 0.250)
Pa (0.204, 0.796, 0.250)
Pa (0.796, 0.204, 0.750)
Ge (0.310, 0.690, 0.250)
Ge (0.370, 0.630, 0.750)
Ge (0.473, 0.527, 0.750)
Ge (0.527, 0.473, 0.250)
Ge (0.630, 0.370, 0.250)
Ge (0.690, 0.310, 0.750)

Calculated values
DFT formation energy ... -507.0 meV/atom
Calculated total energy ... -59.983 eV for the cell shown
DOS at the Fermi energy ... 1.176 states/eV per atom



No. 3
DFT (PBE) results for an optimized crystal structure of Ac5PaGe4.

Cell: 9.915 9.915 8.748 Å, 103.02 103.02 25.69°
Fractional positions:
Ac (0.000, 0.000, 0.000)
Ac (0.331, 0.331, 0.664)
Ac (0.338, 0.338, 0.164)
Ac (0.662, 0.662, 0.836)
Ac (0.669, 0.669, 0.336)
Pa (0.000, 0.000, 0.500)
Ge (0.158, 0.158, 0.584)
Ge (0.498, 0.498, 0.726)
Ge (0.502, 0.502, 0.274)
Ge (0.842, 0.842, 0.416)

Calculated values
DFT formation energy ... -437.1 meV/atom
Calculated total energy ... -52.878 eV for the cell shown
DOS at the Fermi energy ... 1.184 states/eV per atom



No. 4
DFT (PBE) results for an optimized crystal structure of AcPaGe2.

Cell: 7.554 7.554 7.554 Å, 33.55 33.55 33.55°
Fractional positions:
Ac (0.000, 0.000, 0.000)
Pa (0.500, 0.500, 0.500)
Ge (0.237, 0.237, 0.237)
Ge (0.763, 0.763, 0.763)

Calculated values
DFT formation energy ... -537.0 meV/atom
Calculated total energy ... -24.987 eV for the cell shown
DOS at the Fermi energy ... 0.620 states/eV per atom



No. 5
DFT (PBE) results for an optimized crystal structure of Ac2PaGe.

Cell: 5.009 5.009 4.859 Å, 90.00 90.00 90.00°
Fractional positions:
Ac (0.000, 0.500, 0.000)
Ac (0.500, 0.000, 0.000)
Pa (0.000, 0.000, 0.500)
Ge (0.500, 0.500, 0.500)

Calculated values
DFT formation energy ... 103.3 meV/atom
Calculated total energy ... -21.917 eV for the cell shown
DOS at the Fermi energy ... 1.753 states/eV per atom



No. 6
DFT (PBE) results for an optimized crystal structure of AcPaGe2.

Cell: 5.253 5.253 5.253 Å, 60.00 60.00 60.00°
Fractional positions:
Ac (0.000, 0.000, 0.000)
Pa (0.500, 0.500, 0.500)
Ge (0.250, 0.250, 0.250)
Ge (0.750, 0.750, 0.750)

Calculated values
DFT formation energy ... -254.2 meV/atom
Calculated total energy ... -23.856 eV for the cell shown
DOS at the Fermi energy ... 2.072 states/eV per atom



No. 7
DFT (PBE) results for an optimized crystal structure of Ac2PaGe.

Cell: 3.746 3.746 9.026 Å, 90.00 90.00 90.00°
Fractional positions:
Ac (0.000, 0.000, 0.221)
Ac (0.000, 0.000, 0.779)
Pa (0.500, 0.500, 0.500)
Ge (0.500, 0.500, 0.000)

Calculated values
DFT formation energy ... 54.4 meV/atom
Calculated total energy ... -22.113 eV for the cell shown
DOS at the Fermi energy ... 1.153 states/eV per atom



No. 8
DFT (PBE) results for an optimized crystal structure of Ac2PaGe4Pd3.

Cell: 4.452 4.452 11.399 Å, 90.00 90.00 90.00°
Fractional positions:
Ac (0.000, 0.500, 0.226)
Ac (0.500, 0.000, 0.774)
Pa (0.000, 0.000, 0.500)
Ge (0.000, 0.000, 0.000)
Ge (0.000, 0.500, 0.659)
Ge (0.500, 0.000, 0.341)
Ge (0.500, 0.500, 0.000)
Pd (0.000, 0.500, 0.885)
Pd (0.500, 0.000, 0.115)
Pd (0.500, 0.500, 0.500)

Calculated values
DFT formation energy ... -693.0 meV/atom
Calculated total energy ... -58.691 eV for the cell shown
DOS at the Fermi energy ... 0.486 states/eV per atom



No. 9
DFT (PBE) results for an optimized crystal structure of AcPaGePd.

Cell: 5.230 5.230 5.230 Å, 60.00 60.00 60.00°
Fractional positions:
Ac (0.000, 0.000, 0.000)
Pa (0.500, 0.500, 0.500)
Ge (0.250, 0.250, 0.250)
Pd (0.750, 0.750, 0.750)

Calculated values
DFT formation energy ... -281.4 meV/atom
Calculated total energy ... -24.540 eV for the cell shown
DOS at the Fermi energy ... 2.047 states/eV per atom



No. 10
DFT (PBE) results for an optimized crystal structure of AcPmPaGe.

Cell: 5.468 5.468 5.468 Å, 60.00 60.00 60.00°
Fractional positions:
Ac (0.000, 0.000, 0.000)
Pm (0.500, 0.500, 0.500)
Pa (0.250, 0.250, 0.250)
Ge (0.750, 0.750, 0.750)

Calculated values
DFT formation energy ... 268.5 meV/atom
Calculated total energy ... -21.898 eV for the cell shown
DOS at the Fermi energy ... 1.869 states/eV per atom



No. 11
DFT (PBE) results for an optimized crystal structure of AcPaGe2Pt2.

Cell: 4.427 4.427 7.931 Å, 90.00 90.00 120.00°
Fractional positions:
Ac (0.000, 0.000, 0.000)
Pa (0.000, 0.000, 0.500)
Ge (0.333, 0.667, 0.713)
Ge (0.667, 0.333, 0.287)
Pt (0.333, 0.667, 0.279)
Pt (0.667, 0.333, 0.721)

Calculated values
DFT formation energy ... -994.7 meV/atom
Calculated total energy ... -40.889 eV for the cell shown
DOS at the Fermi energy ... 0.124 states/eV per atom



No. 12
DFT (PBE) results for an optimized crystal structure of AcPaGePt.

Cell: 5.220 5.220 5.220 Å, 60.00 60.00 60.00°
Fractional positions:
Ac (0.000, 0.000, 0.000)
Pa (0.500, 0.500, 0.500)
Ge (0.750, 0.750, 0.750)
Pt (0.250, 0.250, 0.250)

Calculated values
DFT formation energy ... -436.0 meV/atom
Calculated total energy ... -26.007 eV for the cell shown
DOS at the Fermi energy ... 1.971 states/eV per atom